{
  "formula": "SrZn2Cu",
  "functional": "PBE-GGA",
  "state": "optimized geometry",
  "lattice_angstrom": [[3.971, 0.000, 0.000], [0.000, 4.331, 0.000], [-1.395, 0.000, 5.302]],
  "species": ["Sr", "Zn", "Zn", "Cu"],
  "fractional_positions": [[0.000, 0.000, 0.000], [0.327, 0.500, 0.667], [0.673, 0.500, 0.333], [0.500, 0.000, 0.500]],
  "e_tot_ev_per_atom": -2.11
}